! Cu2MoP (GGA-PBE, optimized geometry); values from VASP
&SYSTEM
  ibrav = 0, nat = 4, ntyp = 3
/
ATOMIC_SPECIES
Mo 95.94 Mo.upf
Cu 63.55 Cu.upf
P 30.97 P.upf
CELL_PARAMETERS angstrom
4.493 -0.016 0.023
3.488 2.832 0.023
1.762 0.622 4.281
ATOMIC_POSITIONS crystal
Mo 0.535 0.535 0.407
Cu 0.733 0.733 0.781
P 0.263 0.263 0.354
Cu 0.969 0.969 0.958
! * calculated density: 7.7 g/cm3
! * ΔH_f (0 K): 26 meV per atom
! * E_tot: -6.08 eV per atom